No. 1
The following is a DFT calculation (PBE) of a relaxed ErHfAl crystal.

Lattice parameters (Å, degrees): 6.8964 6.8964 6.8964 90.00 90.00 90.00
Closest atoms and distances in Å follow each position.
Fractional positions:
Er1 0.0000 0.0000 0.0000  4 Hf 2.99
Er2 0.0000 0.5000 0.5000  4 Hf 2.99
Er3 0.5000 0.0000 0.5000  4 Hf 2.99
Er4 0.5000 0.5000 0.0000  4 Hf 2.99
Hf1 0.2500 0.2500 0.7500  4 Er 2.99, 4 Al 2.99
Hf2 0.2500 0.7500 0.2500  4 Er 2.99, 4 Al 2.99
Hf3 0.7500 0.2500 0.2500  4 Er 2.99, 4 Al 2.99
Hf4 0.7500 0.7500 0.7500  4 Er 2.99, 4 Al 2.99
Al1 0.0000 0.0000 0.5000  4 Hf 2.99
Al2 0.0000 0.5000 0.0000  4 Hf 2.99
Al3 0.5000 0.0000 0.0000  4 Hf 2.99
Al4 0.5000 0.5000 0.5000  4 Hf 2.99

Values from the calculation:
- Uncorrected energy: -5.4445 eV per atom
- V: 27.33 Å³ per atom
- Theoretical density: 7.548 g cm⁻³
- Magnetization: 0.01 μB/f.u.
- E above lowest polymorph: 0 meV/atom

***

No. 2
The following is a DFT calculation (PBE) of a relaxed La2TbIn3AgPt2 crystal.

Lattice parameters (Å, degrees): 4.0173 7.8841 7.8841 120.10 90.00 90.00
Closest atoms and distances in Å follow each position.
Fractional positions:
La1 0.0000 0.2077 0.7923  4 Pt 3.12-3.13, 2 In 3.27, 1 Ag 3.28
La2 0.0000 0.7923 0.2077  4 Pt 3.12-3.13, 2 In 3.27, 1 Ag 3.28
Tb1 0.0000 0.3780 0.3780  4 Pt 3.08, 2 In 3.23, 1 Ag 3.24
In1 0.5000 0.0561 0.0561  2 Ag 2.90, 2 Pt 2.91, 2 Tb 3.23
In2 0.5000 0.5324 0.7865  2 Ag 2.85, 2 Pt 2.92-3.05
In3 0.5000 0.7865 0.5324  2 Ag 2.85, 2 Pt 2.92-3.05
Ag1 0.0000 0.7902 0.7902  6 In 2.85-2.90
Pt1 0.5000 0.1302 0.4569  3 In 2.91-3.05, 2 Tb 3.08, 4 La 3.12-3.13
Pt2 0.5000 0.4569 0.1302  3 In 2.91-3.05, 2 Tb 3.08, 4 La 3.12-3.13

Values from the calculation:
- Uncorrected energy: -5.0013 eV per atom
- V: 24.00 Å³ per atom
- Theoretical density: 9.833 g cm⁻³
- Magnetization: 0.01 μB/f.u.

***

No. 3
The following is a DFT calculation (PBE) of a relaxed NaHfZnS3 crystal.

Lattice parameters (Å, degrees): 6.9442 6.9442 9.9163 90.00 90.00 149.57
Closest atoms and distances in Å follow each position.
Fractional positions:
Na1 0.2484 0.7516 0.7500  6 S 2.96-3.07
Na2 0.7516 0.2484 0.2500  6 S 2.96-3.07
Hf1 0.0000 0.0000 0.0000  6 S 2.60-2.69
Hf2 0.0000 0.0000 0.5000  6 S 2.60-2.69
Zn1 0.4641 0.5359 0.2500  4 S 2.30-2.37
Zn2 0.5359 0.4641 0.7500  4 S 2.30-2.37
S1 0.0776 0.9224 0.2500  2 Zn 2.37
S2 0.3684 0.6316 0.0578  1 Zn 2.30
S3 0.3684 0.6316 0.4422  1 Zn 2.30
S4 0.6316 0.3684 0.5578  1 Zn 2.30
S5 0.6316 0.3684 0.9422  1 Zn 2.30
S6 0.9224 0.0776 0.7500  2 Zn 2.37

Values from the calculation:
- Uncorrected energy: -5.2213 eV per atom
- V: 20.18 Å³ per atom
- Theoretical density: 4.979 g cm⁻³
- Magnetization: 0.60 μB/f.u.

***

Which value of V does entry 2 give? 24.00 Å³ per atom